Record 1
4
Lattice="0.0000 3.2065 3.2065 3.2065 0.0000 3.2065 3.2065 3.2065 0.0000" Properties=species:S:1:pos:R:3 comment="SiHgMo2 | OQMD via LeMat-Bulk | PBE-GGA | relaxed" space_group="F-43m, No. 216" pbc="T T T"
Si 0.0000 0.0000 0.0000
Hg 1.6033 1.6033 1.6033
Mo 3.2065 3.2065 3.2065
Mo 4.8098 4.8098 4.8098



Record 2
3
Lattice="0.0000 3.3560 3.3560 3.3560 0.0000 3.3560 3.3560 3.3560 0.0000" Properties=species:S:1:pos:R:3 comment="BaTaPt | OQMD via LeMat-Bulk | PBE-GGA | relaxed" space_group="F-43m, No. 216" pbc="T T T"
Ba 0.0000 0.0000 0.0000
Ta 1.6780 1.6780 1.6780
Pt 3.3560 3.3560 3.3560



Record 3
4
Lattice="0.0000 3.6084 3.6084 3.6084 0.0000 3.6084 3.6084 3.6084 0.0000" Properties=species:S:1:pos:R:3 comment="NaYFeTe | OQMD via LeMat-Bulk | PBE-GGA | relaxed" space_group="F-43m, No. 216" pbc="T T T"
Na 0.0000 0.0000 0.0000
Y 3.6084 3.6084 3.6084
Fe 5.4127 5.4127 5.4127
Te 1.8042 1.8042 1.8042



VASP energy? In order: -6.236; -5.827; -4.815 eV per atom.